#one
Compound: NdSm4Ho6
Source: Alexandria via LeMat-Bulk
Functional: GGA-PBE
Structure: optimized geometry

Unit cell a=9.713 b=9.713 c=9.713 alpha=140.06 beta=140.06 gamma=57.76
Positions (direct):
Nd: 0.000 0.000 0.000
Sm: 0.014 0.014 0.378
Sm: 0.364 0.986 0.000
Sm: 0.636 0.636 0.622
Sm: 0.986 0.364 0.000
Ho: 0.000 0.500 0.500
Ho: 0.195 0.551 0.000
Ho: 0.449 0.449 0.643
Ho: 0.500 0.000 0.500
Ho: 0.551 0.195 0.000
Ho: 0.805 0.805 0.357

Calculated values
Fermi-level density of states	15.18	states/eV/cell
symmetry	I-42m, No. 121
magnetic moment	0.0	Bohr magnetons per cell

#two
Compound: NdSm4Ho6
Source: Alexandria via LeMat-Bulk
Functional: GGA-PBE
Structure: optimized geometry

Unit cell a=8.475 b=8.475 c=8.475 alpha=125.63 beta=125.63 gamma=80.49
Positions (direct):
Nd: 0.000 0.000 0.000
Sm: 0.254 0.254 0.657
Sm: 0.403 0.746 0.000
Sm: 0.597 0.597 0.343
Sm: 0.746 0.403 0.000
Ho: 0.000 0.500 0.500
Ho: 0.065 0.564 0.000
Ho: 0.436 0.436 0.502
Ho: 0.500 0.000 0.500
Ho: 0.564 0.065 0.000
Ho: 0.935 0.935 0.498

Calculated values
Fermi-level density of states	15.81	states/eV/cell
symmetry	I-42m, No. 121
magnetic moment	0.0	Bohr magnetons per cell

What should be chosen as the most stable of them? Choose #one.

#one
Compound: Nd2SmHo7
Source: Alexandria via LeMat-Bulk
Functional: GGA-PBE
Structure: optimized geometry

Unit cell a=6.166 b=6.171 c=9.433 alpha=102.55 beta=109.03 gamma=99.55
Positions (direct):
Nd: 0.100 0.000 0.200
Nd: 0.900 0.000 0.800
Sm: 0.500 0.500 0.500
Ho: 0.102 0.501 0.701
Ho: 0.298 0.999 0.600
Ho: 0.301 0.502 0.100
Ho: 0.500 0.000 0.000
Ho: 0.699 0.498 0.900
Ho: 0.702 0.001 0.400
Ho: 0.898 0.499 0.299

Calculated values
Fermi-level density of states	13.61	states/eV/cell
symmetry	P-1, No. 2
magnetic moment	0.0	Bohr magnetons per cell

#two
Compound: Nd2SmHo7
Source: Alexandria via LeMat-Bulk
Functional: GGA-PBE
Structure: optimized geometry

Unit cell a=14.795 b=14.795 c=3.515 alpha=90.00 beta=90.00 gamma=154.63
Positions (direct):
Nd: 0.208 0.792 0.000
Nd: 0.792 0.208 0.000
Sm: 0.500 0.500 0.500
Ho: 0.000 0.000 0.000
Ho: 0.155 0.352 0.000
Ho: 0.315 0.685 0.500
Ho: 0.352 0.155 0.000
Ho: 0.648 0.845 0.000
Ho: 0.685 0.315 0.500
Ho: 0.845 0.648 0.000

Calculated values
Fermi-level density of states	16.43	states/eV/cell
symmetry	Cmmm, No. 65
magnetic moment	0.0	Bohr magnetons per cell

What should be chosen as the most stable of them? Choose #one.

#one
Compound: Nd8Sm6Ho
Source: Alexandria via LeMat-Bulk
Functional: GGA-PBE
Structure: optimized geometry

Unit cell a=8.824 b=8.824 c=8.824 alpha=63.34 beta=63.34 gamma=63.34
Positions (direct):
Nd: 0.078 0.078 0.078
Nd: 0.218 0.250 0.613
Nd: 0.250 0.613 0.218
Nd: 0.387 0.782 0.750
Nd: 0.613 0.218 0.250
Nd: 0.750 0.387 0.782
Nd: 0.782 0.750 0.387
Nd: 0.922 0.922 0.922
Sm: 0.040 0.742 0.598
Sm: 0.258 0.402 0.960
Sm: 0.402 0.960 0.258
Sm: 0.598 0.040 0.742
Sm: 0.742 0.598 0.040
Sm: 0.960 0.258 0.402
Ho: 0.500 0.500 0.500

Calculated values
Fermi-level density of states	22.22	states/eV/cell
symmetry	R-3, No. 148
magnetic moment	0.0	Bohr magnetons per cell

#two
Compound: Nd8Sm6Ho
Source: Alexandria via LeMat-Bulk
Functional: GGA-PBE
Structure: optimized geometry

Unit cell a=9.522 b=9.522 c=6.685 alpha=90.00 beta=90.00 gamma=120.00
Positions (direct):
Nd: 0.031 0.283 0.336
Nd: 0.252 0.969 0.336
Nd: 0.283 0.252 0.664
Nd: 0.333 0.667 0.386
Nd: 0.667 0.333 0.614
Nd: 0.717 0.748 0.336
Nd: 0.748 0.031 0.664
Nd: 0.969 0.717 0.664
Sm: 0.087 0.433 0.842
Sm: 0.345 0.913 0.842
Sm: 0.433 0.345 0.158
Sm: 0.567 0.655 0.842
Sm: 0.655 0.087 0.158
Sm: 0.913 0.567 0.158
Ho: 0.000 0.000 0.000

Calculated values
Fermi-level density of states	22.31	states/eV/cell
symmetry	P-3, No. 147
magnetic moment	0.0	Bohr magnetons per cell

What should be chosen as the most stable of them? Choose #one.

#one
Compound: Nd6Sm12Ho
Source: Alexandria via LeMat-Bulk
Functional: GGA-PBE
Structure: optimized geometry

Unit cell a=8.702 b=8.702 c=8.702 alpha=89.24 beta=89.24 gamma=89.24
Positions (direct):
Nd: 0.197 0.594 0.762
Nd: 0.238 0.803 0.406
Nd: 0.406 0.238 0.803
Nd: 0.594 0.762 0.197
Nd: 0.762 0.197 0.594
Nd: 0.803 0.406 0.238
Sm: 0.036 0.278 0.936
Sm: 0.064 0.964 0.722
Sm: 0.142 0.305 0.483
Sm: 0.278 0.936 0.036
Sm: 0.305 0.483 0.142
Sm: 0.483 0.142 0.305
Sm: 0.517 0.858 0.695
Sm: 0.695 0.517 0.858
Sm: 0.722 0.064 0.964
Sm: 0.858 0.695 0.517
Sm: 0.936 0.036 0.278
Sm: 0.964 0.722 0.064
Ho: 0.500 0.500 0.500

Calculated values
Fermi-level density of states	30.68	states/eV/cell
symmetry	R-3, No. 148
magnetic moment	0.0	Bohr magnetons per cell

#two
Compound: Nd6Sm12Ho
Source: Alexandria via LeMat-Bulk
Functional: GGA-PBE
Structure: optimized geometry

Unit cell a=9.976 b=9.976 c=9.976 alpha=112.38 beta=112.38 gamma=112.38
Positions (direct):
Nd: 0.025 0.769 0.769
Nd: 0.231 0.231 0.975
Nd: 0.231 0.975 0.231
Nd: 0.769 0.025 0.769
Nd: 0.769 0.769 0.025
Nd: 0.975 0.231 0.231
Sm: 0.000 0.380 0.620
Sm: 0.000 0.620 0.380
Sm: 0.236 0.236 0.595
Sm: 0.236 0.595 0.236
Sm: 0.380 0.000 0.620
Sm: 0.380 0.620 0.000
Sm: 0.405 0.764 0.764
Sm: 0.595 0.236 0.236
Sm: 0.620 0.000 0.380
Sm: 0.620 0.380 0.000
Sm: 0.764 0.405 0.764
Sm: 0.764 0.764 0.405
Ho: 0.500 0.500 0.500

Calculated values
Fermi-level density of states	32.75	states/eV/cell
symmetry	R-3m, No. 166
magnetic moment	0.0	Bohr magnetons per cell

What should be chosen as the most stable of them? Choose #one.

#one
Compound: Nd6SmHo2
Source: Alexandria via LeMat-Bulk
Functional: GGA-PBE
Structure: optimized geometry

Unit cell a=12.104 b=12.104 c=5.771 alpha=103.76 beta=103.76 gamma=48.47
Positions (direct):
Nd: 0.002 0.168 0.334
Nd: 0.080 0.581 0.081
Nd: 0.168 0.002 0.834
Nd: 0.332 0.498 0.662
Nd: 0.419 0.920 0.419
Nd: 0.498 0.332 0.162
Nd: 0.502 0.668 0.838
Nd: 0.581 0.080 0.581
Nd: 0.668 0.502 0.338
Nd: 0.832 0.998 0.166
Nd: 0.920 0.419 0.919
Nd: 0.998 0.832 0.666
Sm: 0.250 0.750 0.250
Sm: 0.750 0.250 0.750
Ho: 0.167 0.333 0.503
Ho: 0.333 0.167 0.003
Ho: 0.667 0.833 0.997
Ho: 0.833 0.667 0.497

Calculated values
Fermi-level density of states	25.11	states/eV/cell
symmetry	C2/c, No. 15
magnetic moment	0.0	Bohr magnetons per cell

#two
Compound: Nd6SmHo2
Source: Alexandria via LeMat-Bulk
Functional: GGA-PBE
Structure: optimized geometry

Unit cell a=7.614 b=7.614 c=6.205 alpha=90.00 beta=90.00 gamma=120.00
Positions (direct):
Nd: 0.189 0.377 0.212
Nd: 0.189 0.811 0.212
Nd: 0.377 0.189 0.788
Nd: 0.623 0.811 0.212
Nd: 0.811 0.189 0.788
Nd: 0.811 0.623 0.788
Sm: 0.000 0.000 0.500
Ho: 0.333 0.667 0.717
Ho: 0.667 0.333 0.283

Calculated values
Fermi-level density of states	14.40	states/eV/cell
symmetry	P-3m1, No. 164
magnetic moment	1.0	Bohr magnetons per cell

What should be chosen as the most stable of them? Choose #one.

#one
Compound: Nd5Sm4Ho3
Source: Alexandria via LeMat-Bulk
Functional: GGA-PBE
Structure: optimized geometry

Unit cell a=6.274 b=7.241 c=8.881 alpha=90.00 beta=90.14 gamma=90.17
Positions (direct):
Nd: 0.000 0.000 0.000
Nd: 0.331 0.500 0.334
Nd: 0.498 0.251 0.000
Nd: 0.502 0.749 0.000
Nd: 0.669 0.500 0.666
Sm: 0.166 0.749 0.666
Sm: 0.334 0.000 0.335
Sm: 0.666 0.000 0.665
Sm: 0.834 0.251 0.334
Ho: 0.000 0.500 0.000
Ho: 0.167 0.250 0.667
Ho: 0.833 0.750 0.333

Calculated values
Fermi-level density of states	16.10	states/eV/cell
symmetry	P-1, No. 2
magnetic moment	0.0	Bohr magnetons per cell

#two
Compound: Nd5Sm4Ho3
Source: Alexandria via LeMat-Bulk
Functional: GGA-PBE
Structure: optimized geometry

Unit cell a=8.734 b=8.734 c=9.413 alpha=114.82 beta=114.82 gamma=40.10
Positions (direct):
Nd: 0.000 0.000 0.000
Nd: 0.327 0.327 0.613
Nd: 0.425 0.425 0.298
Nd: 0.575 0.575 0.702
Nd: 0.673 0.673 0.387
Sm: 0.082 0.082 0.441
Sm: 0.217 0.217 0.878
Sm: 0.783 0.783 0.122
Sm: 0.918 0.918 0.559
Ho: 0.208 0.208 0.227
Ho: 0.500 0.500 0.000
Ho: 0.792 0.792 0.773

Calculated values
Fermi-level density of states	19.46	states/eV/cell
symmetry	C2/m, No. 12
magnetic moment	0.0	Bohr magnetons per cell

What should be chosen as the most stable of them? Choose #one.

#one
Compound: Nd6SmHo4
Source: Alexandria via LeMat-Bulk
Functional: GGA-PBE
Structure: optimized geometry

Unit cell a=9.734 b=9.734 c=9.734 alpha=139.52 beta=139.52 gamma=58.58
Positions (direct):
Nd: 0.000 0.500 0.500
Nd: 0.013 0.632 0.000
Nd: 0.368 0.368 0.381
Nd: 0.500 0.000 0.500
Nd: 0.632 0.013 0.000
Nd: 0.987 0.987 0.619
Sm: 0.000 0.000 0.000
Ho: 0.199 0.199 0.644
Ho: 0.444 0.801 0.000
Ho: 0.556 0.556 0.356
Ho: 0.801 0.444 0.000

Calculated values
Fermi-level density of states	17.36	states/eV/cell
symmetry	I-42m, No. 121
magnetic moment	0.0	Bohr magnetons per cell

#two
Compound: Nd6SmHo4
Source: Alexandria via LeMat-Bulk
Functional: GGA-PBE
Structure: optimized geometry

Unit cell a=5.681 b=5.681 c=25.956 alpha=90.00 beta=90.00 gamma=117.64
Positions (direct):
Nd: 0.000 0.000 0.000
Nd: 0.000 0.000 0.500
Nd: 0.052 0.948 0.750
Nd: 0.300 0.700 0.100
Nd: 0.300 0.700 0.400
Nd: 0.378 0.622 0.681
Nd: 0.378 0.622 0.819
Nd: 0.622 0.378 0.181
Nd: 0.622 0.378 0.319
Nd: 0.700 0.300 0.600
Nd: 0.700 0.300 0.900
Nd: 0.948 0.052 0.250
Sm: 0.287 0.713 0.250
Sm: 0.713 0.287 0.750
Ho: 0.043 0.957 0.624
Ho: 0.043 0.957 0.876
Ho: 0.350 0.650 0.544
Ho: 0.350 0.650 0.956
Ho: 0.650 0.350 0.044
Ho: 0.650 0.350 0.456
Ho: 0.957 0.043 0.124
Ho: 0.957 0.043 0.376

Calculated values
Fermi-level density of states	38.36	states/eV/cell
symmetry	Cmcm, No. 63
magnetic moment	0.0	Bohr magnetons per cell

What should be chosen as the most stable of them? Choose #two.

#one
Compound: Nd3Sm2Ho3
Source: Alexandria via LeMat-Bulk
Functional: GGA-PBE
Structure: optimized geometry

Unit cell a=5.616 b=16.099 c=6.617 alpha=90.00 beta=115.05 gamma=90.00
Positions (direct):
Nd: 0.075 0.094 0.150
Nd: 0.075 0.406 0.150
Nd: 0.266 0.250 0.532
Nd: 0.734 0.750 0.468
Nd: 0.925 0.594 0.850
Nd: 0.925 0.906 0.850
Sm: 0.221 0.628 0.442
Sm: 0.221 0.872 0.442
Sm: 0.779 0.128 0.558
Sm: 0.779 0.372 0.558
Ho: 0.381 0.050 0.761
Ho: 0.381 0.450 0.761
Ho: 0.458 0.750 0.919
Ho: 0.542 0.250 0.081
Ho: 0.619 0.550 0.239
Ho: 0.619 0.950 0.239

Calculated values
Fermi-level density of states	22.63	states/eV/cell
symmetry	P2_1/m, No. 11
magnetic moment	0.0	Bohr magnetons per cell

#two
Compound: Nd3Sm2Ho3
Source: Alexandria via LeMat-Bulk
Functional: GGA-PBE
Structure: optimized geometry

Unit cell a=10.830 b=10.830 c=10.830 alpha=152.81 beta=152.72 gamma=38.90
Positions (direct):
Nd: 0.000 0.000 0.000
Nd: 0.376 0.876 0.500
Nd: 0.624 0.124 0.500
Sm: 0.249 0.249 0.000
Sm: 0.751 0.751 0.000
Ho: 0.125 0.625 0.500
Ho: 0.500 0.500 0.000
Ho: 0.875 0.375 0.500

Calculated values
Fermi-level density of states	12.18	states/eV/cell
symmetry	Immm, No. 71
magnetic moment	0.0	Bohr magnetons per cell

What should be chosen as the most stable of them? Choose #two.

#one
Compound: NdSm6Ho2
Source: Alexandria via LeMat-Bulk
Functional: GGA-PBE
Structure: optimized geometry

Unit cell a=3.616 b=8.842 c=9.550 alpha=90.25 beta=100.90 gamma=90.09
Positions (direct):
Nd: 0.000 0.000 0.000
Sm: 0.110 0.665 0.220
Sm: 0.222 0.335 0.443
Sm: 0.333 0.001 0.666
Sm: 0.667 0.999 0.334
Sm: 0.778 0.665 0.557
Sm: 0.890 0.335 0.780
Ho: 0.444 0.666 0.889
Ho: 0.556 0.334 0.111

Calculated values
Fermi-level density of states	13.13	states/eV/cell
symmetry	P-1, No. 2
magnetic moment	0.0	Bohr magnetons per cell

#two
Compound: NdSm6Ho2
Source: Alexandria via LeMat-Bulk
Functional: GGA-PBE
Structure: optimized geometry

Unit cell a=7.537 b=7.537 c=6.164 alpha=90.01 beta=90.01 gamma=60.00
Positions (direct):
Nd: 0.000 0.000 0.000
Sm: 0.187 0.187 0.710
Sm: 0.187 0.624 0.709
Sm: 0.376 0.813 0.291
Sm: 0.624 0.187 0.709
Sm: 0.813 0.376 0.291
Sm: 0.813 0.813 0.290
Ho: 0.334 0.334 0.217
Ho: 0.666 0.666 0.783

Calculated values
Fermi-level density of states	14.02	states/eV/cell
symmetry	C2/m, No. 12
magnetic moment	0.9	Bohr magnetons per cell

What should be chosen as the most stable of them? Choose #one.

#one
Compound: NdSm3Ho4
Source: Alexandria via LeMat-Bulk
Functional: GGA-PBE
Structure: optimized geometry

Unit cell a=11.460 b=7.302 c=6.298 alpha=90.00 beta=90.00 gamma=90.00
Positions (direct):
Nd: 0.000 0.127 0.000
Nd: 0.500 0.873 0.500
Sm: 0.000 0.872 0.500
Sm: 0.250 0.128 0.335
Sm: 0.250 0.872 0.835
Sm: 0.500 0.128 0.000
Sm: 0.750 0.128 0.335
Sm: 0.750 0.872 0.835
Ho: 0.000 0.378 0.501
Ho: 0.000 0.622 0.001
Ho: 0.250 0.378 0.834
Ho: 0.250 0.622 0.334
Ho: 0.500 0.378 0.501
Ho: 0.500 0.622 0.001
Ho: 0.750 0.378 0.834
Ho: 0.750 0.622 0.334

Calculated values
Fermi-level density of states	28.92	states/eV/cell
symmetry	Pmn2_1, No. 31
magnetic moment	0.0	Bohr magnetons per cell

#two
Compound: NdSm3Ho4
Source: Alexandria via LeMat-Bulk
Functional: GGA-PBE
Structure: optimized geometry

Unit cell a=8.926 b=8.926 c=8.926 alpha=157.71 beta=98.45 gamma=85.86
Positions (direct):
Nd: 0.000 0.000 0.000
Sm: 0.242 0.742 0.500
Sm: 0.500 0.500 0.000
Sm: 0.758 0.258 0.500
Ho: 0.114 0.865 0.249
Ho: 0.384 0.135 0.249
Ho: 0.616 0.865 0.751
Ho: 0.886 0.135 0.751

Calculated values
Fermi-level density of states	13.39	states/eV/cell
symmetry	Immm, No. 71
magnetic moment	0.0	Bohr magnetons per cell

What should be chosen as the most stable of them? Choose #one.